## Ag2SnHgTeS3 (PBE)

Data for a relaxed Ag2SnHgTeS3 crystal.

Structure (extended XYZ):
```
16
Lattice="8.6056 0.0000 0.0000 0.0000 8.3692 0.0000 -4.2374 0.0000 6.1255" Properties=species:S:1:pos:R:3 pbc="T T T"
Ag 0.0000 1.8471 0.0000
Ag 0.0000 6.5221 0.0000
Ag 4.3028 2.3375 0.0000
Ag 4.3028 6.0317 0.0000
Sn -2.0039 0.0000 3.2822
Sn 2.2988 4.1846 3.2822
Hg -2.1501 4.1846 3.2252
Hg 2.1527 0.0000 3.2252
Te 0.1136 4.1846 1.5526
Te 4.4164 0.0000 1.5526
S -0.0443 0.0000 1.7952
S -2.0822 1.9889 4.7516
S -2.0822 6.3802 4.7516
S 4.2585 4.1846 1.7952
S 2.2206 2.1956 4.7516
S 2.2206 6.1735 4.7516
```

DFT total energy	-3.38	eV/atom

## AgHgSb (PBE)

Data for a relaxed AgHgSb crystal.

Structure (extended XYZ):
```
12
Lattice="7.5068 0.0000 0.0000 0.0000 4.1969 0.0000 0.0000 0.0000 9.2208" Properties=species:S:1:pos:R:3 pbc="T T T"
Ag 1.5959 1.0492 1.6365
Ag 2.1575 3.1476 6.2469
Ag 5.3493 1.0492 2.9739
Ag 5.9109 3.1476 7.5844
Hg 0.4938 1.0492 7.8392
Hg 3.2596 3.1476 3.2288
Hg 4.2472 1.0492 5.9920
Hg 7.0130 3.1476 1.3816
Sb 1.0656 1.0492 4.4282
Sb 2.6878 3.1476 9.0386
Sb 4.8190 1.0492 0.1822
Sb 6.4412 3.1476 4.7926
```

DFT total energy	-2.31	eV/atom

## Ag2HgSb (PBE)

Data for a relaxed Ag2HgSb crystal.

Structure (extended XYZ):
```
16
Lattice="7.0121 0.0000 0.0000 0.0000 7.0121 0.0000 0.0000 0.0000 7.0121" Properties=species:S:1:pos:R:3 pbc="T T T"
Ag 0.0000 0.0000 0.0000
Ag 0.0000 3.5060 3.5060
Ag 1.7530 1.7530 1.7530
Ag 1.7530 5.2590 5.2590
Ag 3.5060 0.0000 3.5060
Ag 3.5060 3.5060 0.0000
Ag 5.2590 1.7530 5.2590
Ag 5.2590 5.2590 1.7530
Hg 1.7530 1.7530 5.2590
Hg 1.7530 5.2590 1.7530
Hg 5.2590 1.7530 1.7530
Hg 5.2590 5.2590 5.2590
Sb 0.0000 0.0000 3.5060
Sb 0.0000 3.5060 0.0000
Sb 3.5060 0.0000 0.0000
Sb 3.5060 3.5060 3.5060
```

DFT total energy	-2.30	eV/atom

## AgHgSb (PBE)

Data for a relaxed AgHgSb crystal.

Structure (extended XYZ):
```
12
Lattice="7.0734 0.0000 0.0000 0.0000 4.3244 0.0000 0.0000 0.0000 9.0752" Properties=species:S:1:pos:R:3 pbc="T T T"
Ag 0.9378 1.0811 2.1248
Ag 2.5989 3.2433 6.6624
Ag 4.4745 1.0811 2.4128
Ag 6.1356 3.2433 6.9504
Hg 0.9199 1.0811 5.1090
Hg 2.6168 3.2433 0.5714
Hg 4.4566 1.0811 8.5038
Hg 6.1535 3.2433 3.9662
Sb 0.8520 1.0811 8.0809
Sb 2.6847 3.2433 3.5433
Sb 4.3887 1.0811 5.5318
Sb 6.2214 3.2433 0.9942
```

DFT total energy	-2.25	eV/atom

## AgHg2Sb (PBE)

Data for a relaxed AgHg2Sb crystal.

Structure (extended XYZ):
```
16
Lattice="7.2589 0.0000 0.0000 0.0000 7.2589 0.0000 0.0000 0.0000 7.2589" Properties=species:S:1:pos:R:3 pbc="T T T"
Ag 0.0000 0.0000 0.0000
Ag 0.0000 3.6294 3.6294
Ag 3.6294 0.0000 3.6294
Ag 3.6294 3.6294 0.0000
Hg 0.0000 0.0000 3.6294
Hg 0.0000 3.6294 0.0000
Hg 1.8147 1.8147 1.8147
Hg 1.8147 5.4441 5.4441
Hg 3.6294 0.0000 0.0000
Hg 3.6294 3.6294 3.6294
Hg 5.4441 1.8147 5.4441
Hg 5.4441 5.4441 1.8147
Sb 1.8147 1.8147 5.4441
Sb 1.8147 5.4441 1.8147
Sb 5.4441 1.8147 1.8147
Sb 5.4441 5.4441 5.4441
```

DFT total energy	-1.68	eV/atom

## AgHgSb2 (PBE)

Data for a relaxed AgHgSb2 crystal.

Structure (extended XYZ):
```
16
Lattice="7.3424 0.0000 0.0000 0.0000 7.3424 0.0000 0.0000 0.0000 7.3424" Properties=species:S:1:pos:R:3 pbc="T T T"
Ag 0.0000 0.0000 0.0000
Ag 0.0000 3.6712 3.6712
Ag 3.6712 0.0000 3.6712
Ag 3.6712 3.6712 0.0000
Hg 1.8356 1.8356 1.8356
Hg 1.8356 5.5068 5.5068
Hg 5.5068 1.8356 5.5068
Hg 5.5068 5.5068 1.8356
Sb 0.0000 0.0000 3.6712
Sb 0.0000 3.6712 0.0000
Sb 1.8356 1.8356 5.5068
Sb 1.8356 5.5068 1.8356
Sb 3.6712 0.0000 0.0000
Sb 3.6712 3.6712 3.6712
Sb 5.5068 1.8356 1.8356
Sb 5.5068 5.5068 5.5068
```

DFT total energy	-2.60	eV/atom

## ScAgHg2 (PBE)

Data for a relaxed ScAgHg2 crystal.

Structure (extended XYZ):
```
16
Lattice="6.8856 0.0000 0.0000 0.0000 6.8856 0.0000 0.0000 0.0000 6.8856" Properties=species:S:1:pos:R:3 pbc="T T T"
Sc 0.0000 0.0000 0.0000
Sc 0.0000 3.4428 3.4428
Sc 3.4428 0.0000 3.4428
Sc 3.4428 3.4428 0.0000
Ag 1.7214 1.7214 1.7214
Ag 1.7214 5.1642 5.1642
Ag 5.1642 1.7214 5.1642
Ag 5.1642 5.1642 1.7214
Hg 0.0000 0.0000 3.4428
Hg 0.0000 3.4428 0.0000
Hg 1.7214 1.7214 5.1642
Hg 1.7214 5.1642 1.7214
Hg 3.4428 0.0000 0.0000
Hg 3.4428 3.4428 3.4428
Hg 5.1642 1.7214 1.7214
Hg 5.1642 5.1642 5.1642
```

DFT formation energy	-0.8	eV/f.u.

## ScAgHg2 (PBE)

Data for a relaxed ScAgHg2 crystal.

Structure (extended XYZ):
```
16
Lattice="6.8808 0.0000 0.0000 0.0000 6.8808 0.0000 0.0000 0.0000 6.8808" Properties=species:S:1:pos:R:3 pbc="T T T"
Sc 0.0000 0.0000 0.0000
Sc 0.0000 3.4404 3.4404
Sc 3.4404 0.0000 3.4404
Sc 3.4404 3.4404 0.0000
Ag 1.7202 1.7202 1.7202
Ag 1.7202 5.1606 5.1606
Ag 5.1606 1.7202 5.1606
Ag 5.1606 5.1606 1.7202
Hg 0.0000 0.0000 3.4404
Hg 0.0000 3.4404 0.0000
Hg 1.7202 1.7202 5.1606
Hg 1.7202 5.1606 1.7202
Hg 3.4404 0.0000 0.0000
Hg 3.4404 3.4404 3.4404
Hg 5.1606 1.7202 1.7202
Hg 5.1606 5.1606 5.1606
```

DFT formation energy	-0.8	eV/f.u.